[1]
Computed, not measured: crystalline ScCuIr2 at its relaxed geometry at the PBE level of DFT.

Results
Its magnetization is 0.003 Bohr magnetons per cell. Its space group is I-4m2. Its total energy is -7.37 eV per atom.

abc: 3.8688 3.8688 8.0741
angles: 90.00 90.00 90.00
With the nearest neighbours (Å) after each atom.
Element x y z (fractional)
1 Sc 0.0000 0.0000 0.0000  8 Ir 2.74-2.80, 4 Cu 2.80
2 Sc 0.5000 0.5000 0.5000  8 Ir 2.74-2.80, 4 Cu 2.80
3 Cu 0.0000 0.5000 0.7500  8 Ir 2.74-2.80, 4 Sc 2.80
4 Cu 0.5000 0.0000 0.2500  8 Ir 2.74-2.80, 4 Sc 2.80
5 Ir 0.0000 0.0000 0.5000  4 Sc 2.74, 4 Cu 2.80, 4 Ir 2.80
6 Ir 0.0000 0.5000 0.2500  4 Cu 2.74, 4 Sc 2.80, 4 Ir 2.80
7 Ir 0.5000 0.0000 0.7500  4 Cu 2.74, 4 Ir 2.80, 4 Sc 2.80
8 Ir 0.5000 0.5000 0.0000  4 Sc 2.74, 4 Ir 2.80, 4 Cu 2.80

***

[2]
Computed, not measured: crystalline Na4AcGe2 at its relaxed geometry at the PBE level of DFT.

Results
Its magnetization is 0.000 Bohr magnetons per cell. Its space group is Cmmm. Its total energy is -2.88 eV per atom.

abc: 4.5505 19.5251 4.5700
angles: 90.00 90.00 90.00
With the nearest neighbours (Å) after each atom.
Element x y z (fractional)
1 Na 0.0000 0.1702 0.0000  2 Ge 3.09, 4 Na 3.22
2 Na 0.0000 0.3287 0.5000  2 Ge 3.11, 4 Na 3.22
3 Na 0.0000 0.6713 0.5000  2 Ge 3.11, 4 Na 3.22
4 Na 0.0000 0.8298 0.0000  2 Ge 3.09, 4 Na 3.22
5 Na 0.5000 0.1713 0.5000  2 Ge 3.11, 4 Na 3.22
6 Na 0.5000 0.3298 0.0000  2 Ge 3.09, 4 Na 3.22
7 Na 0.5000 0.6702 0.0000  2 Ge 3.09, 4 Na 3.22
8 Na 0.5000 0.8287 0.5000  2 Ge 3.11, 4 Na 3.22
9 Ac 0.0000 0.0000 0.5000  8 Ge 3.45
10 Ac 0.5000 0.5000 0.5000  8 Ge 3.45
11 Ge 0.0000 0.4369 0.0000  1 Ge 2.47
12 Ge 0.0000 0.5631 0.0000  1 Ge 2.47
13 Ge 0.5000 0.0631 0.0000  1 Ge 2.47
14 Ge 0.5000 0.9369 0.0000  1 Ge 2.47

***

[3]
Computed, not measured: crystalline Hf2Ga3Ir at its relaxed geometry at the PBE level of DFT.

Results
Its magnetization is 0.000 Bohr magnetons per cell. Its space group is Immm. Its total energy is -6.40 eV per atom.

abc: 3.0068 5.4396 13.5986
angles: 90.00 90.00 90.00
With the nearest neighbours (Å) after each atom.
Element x y z (fractional)
1 Hf 0.0000 0.0000 0.1783  6 Ga 2.75-2.85, 2 Hf 3.01
2 Hf 0.0000 0.0000 0.8217  6 Ga 2.75-2.85, 2 Hf 3.01
3 Hf 0.5000 0.5000 0.3217  6 Ga 2.75-2.85, 2 Hf 3.01
4 Hf 0.5000 0.5000 0.6783  6 Ga 2.75-2.85, 2 Hf 3.01
5 Ga 0.0000 0.5000 0.1496  2 Ir 2.53, 4 Hf 2.75-2.78
6 Ga 0.0000 0.5000 0.5000  2 Ir 2.72, 4 Hf 2.85, 2 Ga 3.01
7 Ga 0.0000 0.5000 0.8504  2 Ir 2.53, 4 Hf 2.75-2.78
8 Ga 0.5000 0.0000 0.0000  2 Ir 2.72, 4 Hf 2.85, 2 Ga 3.01
9 Ga 0.5000 0.0000 0.3504  2 Ir 2.53, 4 Hf 2.75-2.78
10 Ga 0.5000 0.0000 0.6496  2 Ir 2.53, 4 Hf 2.75-2.78
11 Ir 0.0000 0.0000 0.5000  6 Ga 2.53-2.72
12 Ir 0.5000 0.5000 0.0000  6 Ga 2.53-2.72

***

[4]
Computed, not measured: crystalline Dy3YHoSc at its relaxed geometry at the PBE level of DFT.

Results
Its magnetization is 0.000 Bohr magnetons per cell. Its space group is P2_1/m. Its total energy is -5.16 eV per atom.

abc: 7.8106 4.9633 9.8920
angles: 90.00 108.58 90.00
With the nearest neighbours (Å) after each atom.
Element x y z (fractional)
1 Dy 0.1693 0.2500 0.0439  1 Sc 3.48, 3 Ho 3.49-3.51, 3 Y 3.51-3.57, 5 Dy 3.53-3.54
2 Dy 0.1706 0.7500 0.7901  3 Ho 3.48-3.51, 1 Sc 3.48, 6 Dy 3.50-3.54, 2 Y 3.56
3 Dy 0.1747 0.2500 0.5420  3 Sc 3.42-3.46, 1 Ho 3.44, 3 Y 3.47-3.57, 5 Dy 3.50-3.59
4 Dy 0.8253 0.7500 0.4580  3 Sc 3.42-3.46, 1 Ho 3.44, 3 Y 3.47-3.57, 5 Dy 3.50-3.59
5 Dy 0.8294 0.2500 0.2099  3 Ho 3.48-3.51, 1 Sc 3.48, 6 Dy 3.50-3.54, 2 Y 3.56
6 Dy 0.8307 0.7500 0.9561  1 Sc 3.48, 3 Ho 3.49-3.51, 3 Y 3.51-3.57, 5 Dy 3.53-3.54
7 Y 0.1732 0.7500 0.2960  3 Sc 3.42-3.47, 1 Ho 3.47, 8 Dy 3.47-3.57
8 Y 0.8268 0.2500 0.7040  3 Sc 3.42-3.47, 1 Ho 3.47, 8 Dy 3.47-3.57
9 Ho 0.4997 0.2500 0.8725  7 Dy 3.44-3.51, 1 Y 3.47, 2 Sc 3.51, 2 Ho 3.54
10 Ho 0.5003 0.7500 0.1275  7 Dy 3.44-3.51, 1 Y 3.47, 2 Sc 3.51, 2 Ho 3.54
11 Sc 0.5000 0.2500 0.3778  3 Y 3.42-3.47, 5 Dy 3.42-3.48, 2 Sc 3.46, 2 Ho 3.51
12 Sc 0.5000 0.7500 0.6222  3 Y 3.42-3.47, 5 Dy 3.42-3.48, 2 Sc 3.46, 2 Ho 3.51